[1]
Here is crystalline Pm5Te2C at its relaxed geometry from Alexandria. Energies are from PBE.

Results
DFT total energy (eV/atom): -5.4916
D(E_F) (states/eV/atom): 0.909
Magnetization (Bohr magnetons per cell): 0.000

```
16
Lattice="5.828 0.000 0.000 -2.914 5.890 0.000 0.000 0.000 14.527" Properties=species:S:1:pos:R:3 pbc="T T T"
Te 2.914 3.692 0.802
Pm 2.914 2.444 3.632
Pm 2.914 5.090 12.568
Pm 0.000 4.347 1.866
Pm 2.914 1.543 12.662
Pm 2.914 1.543 9.129
C 2.914 3.234 10.896
Pm 2.914 5.090 9.223
Te 2.914 3.692 6.462
Pm 0.000 0.800 1.960
Pm 0.000 0.800 5.304
Pm 0.000 3.446 10.896
Te 0.000 2.198 13.725
Pm 0.000 4.347 5.398
Te 0.000 2.198 8.066
C 0.000 2.656 3.632
```

***

[2]
Here is crystalline HfCuRh2 at its relaxed geometry from Alexandria. Energies are from PBE.

Results
D(E_F) (states/eV/atom): 0.746
Magnetization (Bohr magnetons per cell): 0.000
Energy of formation (meV/atom): -107

```
8
Lattice="3.931 0.000 0.000 0.000 3.931 0.000 1.965 1.965 8.648" Properties=species:S:1:pos:R:3 pbc="T T T"
Rh 2.825 0.983 2.162
Hf 3.931 1.965 4.324
Cu 1.965 1.965 0.000
Rh 2.948 3.071 6.486
Rh 4.913 4.790 6.486
Hf 0.000 0.000 0.000
Rh 1.106 2.948 2.162
Cu 1.965 3.931 4.324
```

***

[3]
Here is crystalline SrInRe2Ir at its relaxed geometry from Alexandria. Energies are from PBE.

Results
D(E_F) (states/eV/atom): 1.351
Magnetization (Bohr magnetons per cell): 3.490
Energy of formation (meV/atom): 2601

```
5
Lattice="-3.547 0.457 3.363 -1.282 -5.252 -0.638 3.191 -1.208 3.530" Properties=species:S:1:pos:R:3 pbc="T T T"
Re 1.595 -0.604 1.765
Re -1.773 0.228 1.681
Ir -0.819 -3.001 3.127
Sr -0.641 -2.626 -0.319
In 0.000 0.000 0.000
```